No. 1
# TcWN, relaxed, DFT PBE
data_TcWN
_cell_length_a 3.8343
_cell_length_b 3.8343
_cell_length_c 2.9281
_cell_angle_alpha 90.00
_cell_angle_beta 90.00
_cell_angle_gamma 120.00
_space_group_name_H-M_alt 'P 3 m 1'
_space_group_IT_number 156
_space_group_name_Hall 'P 3 -2"'
loop_
_atom_site_label
_atom_site_fract_x
_atom_site_fract_y
_atom_site_fract_z
_atom_site_occupancy
Tc1 0.0000 0.0000 0.0000 1
W1 0.6667 0.3333 0.4974 1
N1 0.3333 0.6667 0.4961 1
# E above lowest polymorph, eV/f.u.: 2.16
# Size of the total moment, μB/f.u.: 0.0
# Formation energy (no corrections), eV/atom: 0.59



No. 2
# SrBeSe2N, relaxed, DFT PBE
data_SrBeSe2N
_cell_length_a 5.425
_cell_length_b 5.425
_cell_length_c 3.258
_cell_angle_alpha 90.00
_cell_angle_beta 90.00
_cell_angle_gamma 90.00
_space_group_name_H-M_alt 'P 4/m m m'
_space_group_IT_number 123
_space_group_name_Hall '-P 4 2'
loop_
_atom_site_label
_atom_site_fract_x
_atom_site_fract_y
_atom_site_fract_z
_atom_site_occupancy
Sr1 0.000 0.000 0.000 1
Be1 0.500 0.500 0.500 1
Se1 0.000 0.500 0.500 1
N1 0.500 0.500 0.000 1
# E above lowest polymorph, eV/f.u.: 0.00
# Size of the total moment, μB/f.u.: 1.4
# Formation energy (no corrections), eV/atom: -0.30



No. 3
# FeNiP, relaxed, DFT PBE
data_FeNiP
_cell_length_a 3.0202
_cell_length_b 3.0202
_cell_length_c 13.8359
_cell_angle_alpha 90.00
_cell_angle_beta 90.00
_cell_angle_gamma 120.00
_space_group_name_H-M_alt 'R 3 m'
_space_group_IT_number 160
_space_group_name_Hall 'R 3 -2"'
loop_
_atom_site_label
_atom_site_fract_x
_atom_site_fract_y
_atom_site_fract_z
_atom_site_occupancy
Fe1 0.0000 0.0000 0.0000 1
Ni1 0.0000 0.0000 0.8072 1
P1 0.0000 0.0000 0.5714 1
# Size of the total moment, μB/f.u.: 1.1
# ΔH_f (0 K), eV/f.u.: -0.55



No. 4
# DySeO4, relaxed, DFT PBE
data_DySeO4
_cell_length_a 7.273
_cell_length_b 7.273
_cell_length_c 6.499
_cell_angle_alpha 90.00
_cell_angle_beta 90.00
_cell_angle_gamma 90.00
_space_group_name_H-M_alt 'I 41/a m d'
_space_group_IT_number 141
loop_
_space_group_symop_operation_xyz
'x,y,z'
'-x,-y,-z'
'-y+1/4,x+3/4,z+1/4'
'y+1/4,-x+3/4,-z+1/4'
'-x+1/2,-y,z+1/2'
'x+1/2,y,-z+1/2'
'y+1/4,-x+1/4,z+3/4'
'-y+1/4,x+1/4,-z+3/4'
'x,-y,-z'
'-x,y,z'
'-y+1/4,-x+1/4,-z+3/4'
'y+1/4,x+1/4,z+3/4'
'-x+1/2,y,-z+1/2'
'x+1/2,-y,z+1/2'
'y+1/4,x+3/4,-z+1/4'
'-y+1/4,-x+3/4,z+1/4'
'x+1/2,y+1/2,z+1/2'
'-x+1/2,-y+1/2,-z+1/2'
'-y+3/4,x+1/4,z+3/4'
'y+3/4,-x+1/4,-z+3/4'
'-x,-y+1/2,z'
'x,y+1/2,-z'
'y+3/4,-x+3/4,z+1/4'
'-y+3/4,x+3/4,-z+1/4'
'x+1/2,-y+1/2,-z+1/2'
'-x+1/2,y+1/2,z+1/2'
'-y+3/4,-x+3/4,-z+1/4'
'y+3/4,x+3/4,z+1/4'
'-x,y+1/2,-z'
'x,-y+1/2,z'
'y+3/4,x+1/4,-z+3/4'
'-y+3/4,-x+1/4,z+3/4'
loop_
_atom_site_label
_atom_site_fract_x
_atom_site_fract_y
_atom_site_fract_z
_atom_site_occupancy
Dy1 0.000 0.250 0.375 1
Se1 0.000 0.250 0.875 1
O1 0.000 0.069 0.683 1
# Size of the total moment, μB/f.u.: 0.0
# Formation energy (no corrections), eV/atom: -1.81



No. 5
# CaHoTcN3, relaxed, DFT PBE
data_CaHoTcN3
_cell_length_a 7.252
_cell_length_b 3.442
_cell_length_c 8.422
_cell_angle_alpha 90.00
_cell_angle_beta 101.95
_cell_angle_gamma 90.00
_space_group_name_H-M_alt 'P 1 21/m 1'
_space_group_IT_number 11
_space_group_name_Hall '-P 2yb'
loop_
_atom_site_label
_atom_site_fract_x
_atom_site_fract_y
_atom_site_fract_z
_atom_site_occupancy
Ca1 0.177 0.250 0.143 1
Ho1 0.375 0.750 0.846 1
Tc1 0.052 0.250 0.618 1
N1 0.084 0.250 0.841 1
N2 0.176 0.750 0.568 1
N3 0.411 0.750 0.121 1
# Size of the total moment, μB/f.u.: 0.0
# Formation energy (no corrections), eV/atom: -0.77



No. 6
# AgTe12Au7, relaxed, DFT PBE
data_AgTe12Au7
_cell_length_a 13.6968
_cell_length_b 13.6968
_cell_length_c 10.5772
_cell_angle_alpha 90.00
_cell_angle_beta 90.00
_cell_angle_gamma 120.00
_space_group_name_H-M_alt 'R -3'
_space_group_IT_number 148
_space_group_name_Hall '-R 3'
loop_
_atom_site_label
_atom_site_fract_x
_atom_site_fract_y
_atom_site_fract_z
_atom_site_occupancy
Ag1 0.0000 0.0000 0.0000 1
Te1 0.0316 0.7514 0.9875 1
Te2 0.0596 0.1815 0.3290 1
Au1 0.0000 0.0000 0.5000 1
Au2 0.0624 0.1814 0.8284 1
# Size of the total moment, μB/f.u.: 0.0
# Formation energy (no corrections), eV/atom: 0.04



No. 7
# Tm3Sc2Te2, relaxed, DFT PBE
data_Tm3Sc2Te2
_cell_length_a 13.875
_cell_length_b 3.815
_cell_length_c 7.462
_cell_angle_alpha 90.00
_cell_angle_beta 106.69
_cell_angle_gamma 90.00
_space_group_name_H-M_alt 'C 1 2/m 1'
_space_group_IT_number 12
_space_group_name_Hall '-C 2y'
loop_
_atom_site_label
_atom_site_fract_x
_atom_site_fract_y
_atom_site_fract_z
_atom_site_occupancy
Tm1 0.000 0.000 0.000 1
Tm2 0.219 0.500 0.167 1
Sc1 0.070 0.500 0.708 1
Te1 0.113 0.000 0.419 1
# Size of the total moment, μB/f.u.: 1.1
# Formation energy (no corrections), eV/atom: -0.60



No. 8
# KPuN, relaxed, DFT PBE
data_KPuN
_cell_length_a 3.161
_cell_length_b 16.593
_cell_length_c 6.220
_cell_angle_alpha 90.00
_cell_angle_beta 90.00
_cell_angle_gamma 90.00
_space_group_name_H-M_alt 'C m c m'
_space_group_IT_number 63
_space_group_name_Hall '-C 2c 2'
loop_
_atom_site_label
_atom_site_fract_x
_atom_site_fract_y
_atom_site_fract_z
_atom_site_occupancy
K1 0.000 0.172 0.250 1
Pu1 0.000 0.046 0.750 1
N1 0.000 0.500 0.000 1
# Size of the total moment, μB/f.u.: 5.2
# Formation energy (no corrections), eV/atom: -0.39



No. 9
# ZrSn3Te, relaxed, DFT PBE
data_ZrSn3Te
_cell_length_a 5.640
_cell_length_b 5.640
_cell_length_c 5.640
_cell_angle_alpha 90.00
_cell_angle_beta 90.00
_cell_angle_gamma 90.00
_space_group_name_H-M_alt 'P m -3 m'
_space_group_IT_number 221
_space_group_name_Hall '-P 4 2 3'
loop_
_atom_site_label
_atom_site_fract_x
_atom_site_fract_y
_atom_site_fract_z
_atom_site_occupancy
Zr1 0.000 0.000 0.000 1
Sn1 0.000 0.500 0.500 1
Te1 0.500 0.500 0.500 1
# E above lowest polymorph, eV/f.u.: 2.95
# Size of the total moment, μB/f.u.: 1.8
# Formation energy (no corrections), eV/atom: 1.00



No. 10
# Re2RhSe, relaxed, DFT PBE
data_Re2RhSe
_cell_length_a 5.640
_cell_length_b 5.640
_cell_length_c 10.818
_cell_angle_alpha 90.00
_cell_angle_beta 90.00
_cell_angle_gamma 90.00
_space_group_name_H-M_alt 'I -4 2 d'
_space_group_IT_number 122
_space_group_name_Hall 'I -4 2bw'
loop_
_atom_site_label
_atom_site_fract_x
_atom_site_fract_y
_atom_site_fract_z
_atom_site_occupancy
Re1 0.246 0.250 0.125 1
Rh1 0.000 0.000 0.000 1
Se1 0.000 0.000 0.500 1
# Size of the total moment, μB/f.u.: 0.0
# Formation energy (no corrections), eV/atom: 1.09



No. 11
# Dy2YZr, relaxed, DFT PBE
data_Dy2YZr
_cell_length_a 7.790
_cell_length_b 7.790
_cell_length_c 7.790
_cell_angle_alpha 90.00
_cell_angle_beta 90.00
_cell_angle_gamma 90.00
_space_group_name_H-M_alt 'F m -3 m'
_space_group_IT_number 225
_space_group_name_Hall '-F 4 2 3'
loop_
_atom_site_label
_atom_site_fract_x
_atom_site_fract_y
_atom_site_fract_z
_atom_site_occupancy
Dy1 0.250 0.250 0.250 1
Y1 0.000 0.000 0.000 1
Zr1 0.000 0.000 0.500 1
# E above lowest polymorph, eV/f.u.: 0.53
# Size of the total moment, μB/f.u.: 2.8
# ΔH_f (0 K), eV/f.u.: 0.85



No. 12
# NaMnNi, relaxed, DFT PBE
data_NaMnNi
_cell_length_a 4.3835
_cell_length_b 4.3835
_cell_length_c 6.0345
_cell_angle_alpha 90.00
_cell_angle_beta 90.00
_cell_angle_gamma 120.00
_space_group_name_H-M_alt 'P -6 m 2'
_space_group_IT_number 187
_space_group_name_Hall 'P -6 2'
loop_
_atom_site_label
_atom_site_fract_x
_atom_site_fract_y
_atom_site_fract_z
_atom_site_occupancy
Na1 0.0000 0.0000 0.0000 1
Na2 0.0000 0.0000 0.5000 1
Mn1 0.6667 0.3333 0.1603 1
Ni1 0.3333 0.6667 0.1866 1
# E above lowest polymorph, eV/f.u.: 1.73
# Size of the total moment, μB/f.u.: 1.4
# ΔH_f (0 K), eV/f.u.: 2.43



No. 13
# NaUAs2, relaxed, DFT PBE
data_NaUAs2
_cell_length_a 4.1697
_cell_length_b 4.1697
_cell_length_c 21.1344
_cell_angle_alpha 90.00
_cell_angle_beta 90.00
_cell_angle_gamma 120.00
_space_group_name_H-M_alt 'R 3 m'
_space_group_IT_number 160
_space_group_name_Hall 'R 3 -2"'
loop_
_atom_site_label
_atom_site_fract_x
_atom_site_fract_y
_atom_site_fract_z
_atom_site_occupancy
Na1 0.0000 0.0000 0.0000 1
U1 0.0000 0.0000 0.1729 1
As1 0.0000 0.0000 0.5754 1
As2 0.0000 0.0000 0.7695 1
# E above lowest polymorph, eV/f.u.: 0.11
# Size of the total moment, μB/f.u.: 1.0
# ΔH_f (0 K), eV/f.u.: -2.03



No. 14
# Rb2MoOsI6, relaxed, DFT PBE
data_Rb2MoOsI6
_cell_length_a 8.061
_cell_length_b 8.061
_cell_length_c 11.359
_cell_angle_alpha 90.00
_cell_angle_beta 90.00
_cell_angle_gamma 90.00
_space_group_name_H-M_alt 'I 4/m m m'
_space_group_IT_number 139
_space_group_name_Hall '-I 4 2'
loop_
_atom_site_label
_atom_site_fract_x
_atom_site_fract_y
_atom_site_fract_z
_atom_site_occupancy
Rb1 0.000 0.500 0.250 1
Mo1 0.000 0.000 0.000 1
Os1 0.000 0.000 0.500 1
I1 0.000 0.000 0.256 1
I2 0.243 0.243 0.500 1
# Size of the total moment, μB/f.u.: 5.0
# Formation energy (no corrections), eV/atom: -0.21



No. 15
# TbPr2Eu, relaxed, DFT PBE
data_TbPr2Eu
_cell_length_a 3.709
_cell_length_b 3.709
_cell_length_c 10.521
_cell_angle_alpha 90.00
_cell_angle_beta 90.00
_cell_angle_gamma 90.00
_space_group_name_H-M_alt 'P 4/m m m'
_space_group_IT_number 123
_space_group_name_Hall '-P 4 2'
loop_
_atom_site_label
_atom_site_fract_x
_atom_site_fract_y
_atom_site_fract_z
_atom_site_occupancy
Tb1 0.000 0.000 0.000 1
Pr1 0.500 0.500 0.236 1
Eu1 0.000 0.000 0.500 1
# E above lowest polymorph, eV/f.u.: 0.00
# Size of the total moment, μB/f.u.: 7.3
# ΔH_f (0 K), eV/f.u.: 0.12



No. 16
# Ce3ErTe4, relaxed, DFT PBE
data_Ce3ErTe4
_cell_length_a 8.984
_cell_length_b 12.576
_cell_length_c 4.401
_cell_angle_alpha 90.00
_cell_angle_beta 90.00
_cell_angle_gamma 90.00
_space_group_name_H-M_alt 'C m m m'
_space_group_IT_number 65
_space_group_name_Hall '-C 2 2'
loop_
_atom_site_label
_atom_site_fract_x
_atom_site_fract_y
_atom_site_fract_z
_atom_site_occupancy
Ce1 0.000 0.000 0.000 1
Ce2 0.250 0.250 0.500 1
Er1 0.000 0.500 0.000 1
Te1 0.000 0.255 0.000 1
Te2 0.240 0.500 0.500 1
# Size of the total moment, μB/f.u.: 3.5
# Formation energy (no corrections), eV/atom: -1.33



No. 17
# K2YBP, relaxed, DFT PBE
data_K2YBP
_cell_length_a 7.371
_cell_length_b 7.371
_cell_length_c 5.120
_cell_angle_alpha 90.00
_cell_angle_beta 90.00
_cell_angle_gamma 90.00
_space_group_name_H-M_alt 'P 4/m m m'
_space_group_IT_number 123
_space_group_name_Hall '-P 4 2'
loop_
_atom_site_label
_atom_site_fract_x
_atom_site_fract_y
_atom_site_fract_z
_atom_site_occupancy
K1 0.000 0.500 0.000 1
Y1 0.000 0.000 0.000 1
B1 0.500 0.500 0.500 1
P1 0.000 0.000 0.500 1
# Size of the total moment, μB/f.u.: 1.0
# ΔH_f (0 K), eV/f.u.: 6.18



No. 18
# NaLaCdHg, relaxed, DFT PBE
data_NaLaCdHg
_cell_length_a 7.606
_cell_length_b 7.606
_cell_length_c 7.606
_cell_angle_alpha 90.00
_cell_angle_beta 90.00
_cell_angle_gamma 90.00
_space_group_name_H-M_alt 'F -4 3 m'
_space_group_IT_number 216
_space_group_name_Hall 'F -4 2 3'
loop_
_atom_site_label
_atom_site_fract_x
_atom_site_fract_y
_atom_site_fract_z
_atom_site_occupancy
Na1 0.000 0.000 0.000 1
La1 0.000 0.000 0.500 1
Cd1 0.250 0.250 0.750 1
Hg1 0.250 0.250 0.250 1
# Size of the total moment, μB/f.u.: 0.0
# ΔH_f (0 K), eV/f.u.: -1.23



No. 19
# Cs3TlSe2O8, relaxed, DFT PBE
data_Cs3TlSe2O8
_cell_length_a 6.5440
_cell_length_b 6.5440
_cell_length_c 8.4984
_cell_angle_alpha 90.00
_cell_angle_beta 90.00
_cell_angle_gamma 120.00
_space_group_name_H-M_alt 'P -3 m 1'
_space_group_IT_number 164
_space_group_name_Hall '-P 3 2"'
loop_
_atom_site_label
_atom_site_fract_x
_atom_site_fract_y
_atom_site_fract_z
_atom_site_occupancy
Cs1 0.0000 0.0000 0.0000 1
Cs2 0.3333 0.6667 0.6847 1
Tl1 0.0000 0.0000 0.5000 1
Se1 0.3333 0.6667 0.2268 1
O1 0.1934 0.3867 0.2956 1
O2 0.3333 0.6667 0.0311 1
# Size of the total moment, μB/f.u.: 0.0
# Formation energy (no corrections), eV/atom: -1.27



No. 20
# Ta7InO19, relaxed, DFT PBE
data_Ta7InO19
_cell_length_a 6.2513
_cell_length_b 6.2513
_cell_length_c 20.2208
_cell_angle_alpha 90.00
_cell_angle_beta 90.00
_cell_angle_gamma 120.00
_space_group_name_H-M_alt 'P -6 c 2'
_space_group_IT_number 188
_space_group_name_Hall 'P -6c 2'
loop_
_atom_site_label
_atom_site_fract_x
_atom_site_fract_y
_atom_site_fract_z
_atom_site_occupancy
Ta1 0.0000 0.0000 0.0000 1
Ta2 0.0268 0.3340 0.1558 1
In1 0.3333 0.6667 0.0000 1
O1 0.0000 0.0000 0.1623 1
O2 0.0644 0.2979 0.0555 1
O3 0.0770 0.3633 0.2500 1
O4 0.3333 0.6667 0.1381 1
O5 0.4218 0.0889 0.6526 1
# Size of the total moment, μB/f.u.: 0.0
# Formation energy (no corrections), eV/atom: -2.69